Model 1:
A plane-wave DFT calculation with PBE was carried out for Sm4AgIr after structural relaxation.

Cell lengths 8.096, 8.096, 8.096 Å; angles 106.49, 106.49, 115.61 degrees
Fractional coordinates of all 12 atoms:
Sm 0.158 0.463 0.695
Sm 0.213 0.019 0.805
Sm 0.213 0.408 0.195
Sm 0.295 0.000 0.295
Sm 0.705 0.000 0.705
Sm 0.750 0.545 0.795
Sm 0.750 0.955 0.205
Sm 0.769 0.463 0.305
Ag 0.233 0.733 0.500
Ag 0.483 0.483 0.000
Ir 0.730 0.230 0.500
Ir 0.980 0.980 0.000

* magnetization: 0.0000 μB per atom

***

Model 2:
A plane-wave DFT calculation with PBE was carried out for Sm4AgIr after structural relaxation.

Cell lengths 9.755, 9.755, 9.755 Å; angles 60.00, 60.00, 60.00 degrees
Fractional coordinates of all 24 atoms:
Sm 0.188 0.188 0.812
Sm 0.188 0.812 0.188
Sm 0.188 0.812 0.812
Sm 0.399 0.399 0.399
Sm 0.399 0.399 0.803
Sm 0.399 0.803 0.399
Sm 0.560 0.560 0.940
Sm 0.560 0.940 0.560
Sm 0.560 0.940 0.940
Sm 0.803 0.399 0.399
Sm 0.812 0.188 0.188
Sm 0.812 0.188 0.812
Sm 0.812 0.812 0.188
Sm 0.940 0.560 0.560
Sm 0.940 0.560 0.940
Sm 0.940 0.940 0.560
Ag 0.169 0.169 0.169
Ag 0.169 0.169 0.494
Ag 0.169 0.494 0.169
Ag 0.494 0.169 0.169
Ir 0.177 0.608 0.608
Ir 0.608 0.177 0.608
Ir 0.608 0.608 0.177
Ir 0.608 0.608 0.608

* magnetization: 0.0000 μB per atom

***

Result of the stability comparison: model 1 is the least stable of them.

***

Model 1:
A plane-wave DFT calculation with PBE was carried out for AgSn2Ir after structural relaxation.

Cell lengths 9.588, 9.588, 9.588 Å; angles 19.75, 19.75, 19.75 degrees
Fractional coordinates of all 4 atoms:
Ag 0.000 0.000 0.000
Sn 0.096 0.096 0.096
Sn 0.904 0.904 0.904
Ir 0.500 0.500 0.500

* magnetization: 0.0000 μB per atom

***

Model 2:
A plane-wave DFT calculation with PBE was carried out for AgSn2Ir after structural relaxation.

Cell lengths 6.597, 6.597, 6.597 Å; angles 99.92, 99.92, 130.95 degrees
Fractional coordinates of all 8 atoms:
Ag 0.000 0.000 0.000
Ag 0.750 0.250 0.500
Sn 0.216 0.625 0.091
Sn 0.375 0.466 0.591
Sn 0.534 0.125 0.909
Sn 0.875 0.784 0.409
Ir 0.250 0.750 0.500
Ir 0.500 0.500 0.000

* magnetization: 0.0000 μB per atom

***

Model 3:
A plane-wave DFT calculation with PBE was carried out for AgSn2Ir after structural relaxation.

Cell lengths 4.795, 4.795, 4.795 Å; angles 60.00, 60.00, 60.00 degrees
Fractional coordinates of all 4 atoms:
Ag 0.000 0.000 0.000
Sn 0.250 0.250 0.250
Sn 0.750 0.750 0.750
Ir 0.500 0.500 0.500

* magnetization: 0.0000 μB per atom

***

Result of the stability comparison: model 2 is the least stable of them.

***

Model 1:
A plane-wave DFT calculation with PBE was carried out for Ag2SnIr2 after structural relaxation.

Cell lengths 7.690, 7.690, 7.690 Å; angles 152.42, 152.42, 39.40 degrees
Fractional coordinates of all 5 atoms:
Ag 0.100 0.100 0.000
Ag 0.900 0.900 0.000
Sn 0.500 0.500 0.000
Ir 0.250 0.750 0.500
Ir 0.750 0.250 0.500

* magnetization: 0.0000 μB per atom

***

Model 2:
A plane-wave DFT calculation with PBE was carried out for Ag2SnIr2 after structural relaxation.

Cell lengths 8.195, 8.195, 2.741 Å; angles 90.00, 90.00, 90.00 degrees
Fractional coordinates of all 10 atoms:
Ag 0.121 0.379 0.000
Ag 0.379 0.879 0.000
Ag 0.621 0.121 0.000
Ag 0.879 0.621 0.000
Sn 0.000 0.000 0.000
Sn 0.500 0.500 0.000
Ir 0.176 0.676 0.500
Ir 0.324 0.176 0.500
Ir 0.676 0.824 0.500
Ir 0.824 0.324 0.500

* magnetization: 0.0000 μB per atom

***

Result of the stability comparison: model 2 is the least stable of them.

***

Model 1:
A plane-wave DFT calculation with PBE was carried out for Sr4AgIr after structural relaxation.

Cell lengths 6.533, 6.533, 6.533 Å; angles 60.00, 60.00, 60.00 degrees
Fractional coordinates of all 6 atoms:
Sr 0.376 0.376 0.376
Sr 0.376 0.376 0.872
Sr 0.376 0.872 0.376
Sr 0.872 0.376 0.376
Ag 0.000 0.000 0.000
Ir 0.750 0.750 0.750

* magnetization: 0.0000 μB per atom

***

Model 2:
A plane-wave DFT calculation with PBE was carried out for Sr4AgIr after structural relaxation.

Cell lengths 8.818, 8.818, 6.920 Å; angles 107.33, 107.33, 111.40 degrees
Fractional coordinates of all 12 atoms:
Sr 0.053 0.716 0.913
Sr 0.225 0.348 0.714
Sr 0.284 0.947 0.587
Sr 0.348 0.225 0.214
Sr 0.652 0.775 0.786
Sr 0.716 0.053 0.413
Sr 0.775 0.652 0.286
Sr 0.947 0.284 0.087
Ag 0.364 0.636 0.250
Ag 0.636 0.364 0.750
Ir 0.000 0.000 0.250
Ir 0.000 0.000 0.750

* magnetization: 0.0000 μB per atom

***

Result of the stability comparison: model 1 is the least stable of them.

***

Model 1:
A plane-wave DFT calculation with PBE was carried out for Sr3AgIr after structural relaxation.

Cell lengths 5.774, 5.774, 5.774 Å; angles 90.00, 90.00, 90.00 degrees
Fractional coordinates of all 5 atoms:
Sr 0.000 0.000 0.500
Sr 0.000 0.500 0.000
Sr 0.500 0.000 0.000
Ag 0.500 0.500 0.500
Ir 0.000 0.000 0.000

* magnetization: 0.0000 μB per atom

***

Model 2:
A plane-wave DFT calculation with PBE was carried out for Sr3AgIr after structural relaxation.

Cell lengths 4.519, 8.922, 8.977 Å; angles 92.09, 90.01, 104.59 degrees
Fractional coordinates of all 10 atoms:
Sr 0.064 0.128 0.193
Sr 0.238 0.475 0.807
Sr 0.395 0.792 0.435
Sr 0.605 0.208 0.565
Sr 0.762 0.525 0.193
Sr 0.936 0.872 0.807
Ag 0.417 0.834 0.069
Ag 0.583 0.166 0.931
Ir 0.228 0.456 0.464
Ir 0.772 0.544 0.536

* magnetization: 0.0332 μB per atom

***

Result of the stability comparison: model 1 is the least stable of them.

***

Model 1:
A plane-wave DFT calculation with PBE was carried out for TaAgIr2 after structural relaxation.

Cell lengths 9.474, 9.474, 9.474 Å; angles 17.19, 17.19, 17.19 degrees
Fractional coordinates of all 4 atoms:
Ta 0.000 0.000 0.000
Ag 0.500 0.500 0.500
Ir 0.254 0.254 0.254
Ir 0.746 0.746 0.746

* magnetization: 0.0016 μB per atom

***

Model 2:
A plane-wave DFT calculation with PBE was carried out for TaAgIr2 after structural relaxation.

Cell lengths 3.432, 3.432, 5.654 Å; angles 90.00, 90.00, 90.00 degrees
Fractional coordinates of all 4 atoms:
Ta 0.000 0.000 0.000
Ag 0.500 0.500 0.298
Ir 0.000 0.000 0.544
Ir 0.500 0.500 0.808

* magnetization: 0.0001 μB per atom

***

Result of the stability comparison: model 2 is the least stable of them.